(1)
Computed, not measured: a relaxed structure of ZrSc2In at the PBE level of DFT.

Calculated values
The formation energy comes out at -0.94 eV per formula unit. The space group is No. 119.

The structure in POSCAR format:
```
ZrSc2In
1.0
-2.195 2.195 4.714
2.195 -2.195 4.714
2.195 2.195 -4.714
Zr Sc In
1 2 1
Direct
0.000 0.000 0.000
0.500 0.500 0.000
0.750 0.250 0.500
0.250 0.750 0.500
```


(2)
Computed, not measured: a relaxed structure of BaLaPb at the PBE level of DFT.

Calculated values
The formation energy comes out at -0.90 eV per formula unit. The space group is No. 156.

The structure in POSCAR format:
```
BaLaPb
1.0
5.490 0.000 0.000
-2.745 4.754 0.000
0.000 0.000 4.839
Ba La Pb
1 1 1
Direct
0.000 0.000 0.000
0.667 0.333 0.474
0.333 0.667 0.557
```


(3)
Computed, not measured: a relaxed structure of Y4Al12Hg at the PBE level of DFT.

Calculated values
The formation energy comes out at -6.46 eV per formula unit. The space group is No. 229.

The structure in POSCAR format:
```
Y4Al12Hg
1.0
-4.384 4.384 4.384
4.384 -4.384 4.384
4.384 4.384 -4.384
Y Al Hg
4 12 1
Direct
0.000 0.000 0.500
0.000 0.500 0.000
0.500 0.000 0.000
0.500 0.500 0.500
0.000 0.312 0.312
0.000 0.688 0.688
0.250 0.500 0.750
0.250 0.750 0.500
0.312 0.000 0.312
0.312 0.312 0.000
0.500 0.250 0.750
0.500 0.750 0.250
0.688 0.000 0.688
0.688 0.688 0.000
0.750 0.250 0.500
0.750 0.500 0.250
0.000 0.000 0.000
```


(4)
Computed, not measured: a relaxed structure of Rb3AgCl6 at the PBE level of DFT.

Calculated values
The uncorrected formation energy is -1228 meV per atom. The space group is No. 14. The calculation puts the distance to the lowest polymorph of the same formula at 0 meV/atom.

The structure in POSCAR format:
```
Rb3AgCl6
1.0
7.601 0.000 0.000
0.000 8.524 0.000
-7.259 0.000 10.674
Rb Ag Cl
6 2 12
Direct
0.000 0.000 0.000
0.000 0.500 0.500
0.216 0.082 0.749
0.216 0.418 0.249
0.784 0.582 0.751
0.784 0.918 0.251
0.500 0.000 0.500
0.500 0.500 0.000
0.202 0.153 0.461
0.202 0.347 0.961
0.240 0.711 0.419
0.240 0.789 0.919
0.407 0.050 0.292
0.407 0.450 0.792
0.593 0.550 0.208
0.593 0.950 0.708
0.760 0.211 0.081
0.760 0.289 0.581
0.798 0.653 0.039
0.798 0.847 0.539
```


What did the first record say?
Computed, not measured: a relaxed structure of ZrSc2In at the PBE level of DFT.

Calculated values
The formation energy comes out at -0.94 eV per formula unit. The space group is No. 119.

The structure in POSCAR format:
```
ZrSc2In
1.0
-2.195 2.195 4.714
2.195 -2.195 4.714
2.195 2.195 -4.714
Zr Sc In
1 2 1
Direct
0.000 0.000 0.000
0.500 0.500 0.000
0.750 0.250 0.500
0.250 0.750 0.500
```